# InGeS | the Alexandria database | PBE-GGA | relaxed
data_InGeS
_chemical_formula_sum 'In4 Ge4 S4'
_cell_length_a 3.4048
_cell_length_b 6.1799
_cell_length_c 13.9605
_cell_angle_alpha 90.00
_cell_angle_beta 90.00
_cell_angle_gamma 90.00
_symmetry_space_group_name_H-M 'F m m 2'
_symmetry_Int_Tables_number 42
_symmetry_space_group_name_Hall 'F 2 -2'
loop_
_atom_site_label
_atom_site_type_symbol
_atom_site_fract_x
_atom_site_fract_y
_atom_site_fract_z
_atom_site_occupancy
In1 In 0.0000 0.0000 0.0000 1
Ge1 Ge 0.0000 0.0000 0.2942 1
S1 S 0.0000 0.0000 0.6778 1
# ΔE_f (raw) = 0.054 eV/atom
# volume = 24.48 Å³/atom
# energy = -11.322 eV/f.u.

# Ta5In | the Alexandria database | PBE-GGA | relaxed
data_Ta5In
_chemical_formula_sum 'Ta5 In1'
_cell_length_a 5.6139
_cell_length_b 5.6139
_cell_length_c 4.6025
_cell_angle_alpha 90.00
_cell_angle_beta 90.00
_cell_angle_gamma 120.00
_symmetry_space_group_name_H-M 'P 6/m m m'
_symmetry_Int_Tables_number 191
_symmetry_space_group_name_Hall '-P 6 2'
loop_
_atom_site_label
_atom_site_type_symbol
_atom_site_fract_x
_atom_site_fract_y
_atom_site_fract_z
_atom_site_occupancy
Ta1 Ta 0.0000 0.5000 0.0000 1
Ta2 Ta 0.3333 0.6667 0.5000 1
In1 In 0.0000 0.0000 0.5000 1
# volume = 20.94 Å³/atom
# energy of formation from the pure elements = 0.5723 eV/atom
# energy = -58.568 eV/f.u.

# ZnReBi3 | the Alexandria database | PBE-GGA | relaxed
data_ZnReBi3
_chemical_formula_sum 'Zn1 Re1 Bi3'
_cell_length_a 5.2809
_cell_length_b 5.2809
_cell_length_c 5.2809
_cell_angle_alpha 90.00
_cell_angle_beta 90.00
_cell_angle_gamma 90.00
_symmetry_space_group_name_H-M 'P m -3 m'
_symmetry_Int_Tables_number 221
_symmetry_space_group_name_Hall '-P 4 2 3'
loop_
_atom_site_label
_atom_site_type_symbol
_atom_site_fract_x
_atom_site_fract_y
_atom_site_fract_z
_atom_site_occupancy
Zn1 Zn 0.0000 0.0000 0.0000 1
Re1 Re 0.5000 0.5000 0.5000 1
Bi1 Bi 0.0000 0.0000 0.5000 1
# volume = 29.45 Å³/atom
# energy of formation from the pure elements = 1.4808 eV/atom
# energy = -17.961 eV/f.u.